An optimized crystal structure of AcCeAu2, computed with PBE.

total magnetization	1.04	μB per cell
crystal system	tetragonal
energy	-4.8186	eV/atom
calculated density	11464	kg/m³
energy of formation	-0.67	eV/atom
SG	P4/mmm (123)

Cell lengths 3.814, 3.814, 7.578 Å; angles 90.00, 90.00, 90.00 degrees
Fractional positions:
Ac  0.000  0.000  0.000
Ce  0.000  0.000  0.500
Au  0.500  0.500  0.274
Au  0.500  0.500  0.726

An optimized crystal structure of HgPdCl5, computed with PBE.

total magnetization	1.99	μB per cell
crystal system	triclinic
uncorrected formation energy	-41.08	kJ/mol of atoms
energy	-2.5297	eV/atom
calculated density	3837	kg/m³
SG	P-1 (2)

Cell lengths 7.490, 7.547, 7.923 Å; angles 94.28, 90.62, 110.07 degrees
Fractional positions:
Hg  0.000  0.000  0.000
Hg  0.500  0.500  0.000
Pd  0.001  0.751  0.498
Pd  0.999  0.249  0.502
Cl  0.066  0.300  0.795
Cl  0.078  0.775  0.793
Cl  0.227  0.101  0.469
Cl  0.230  0.601  0.465
Cl  0.432  0.191  0.060
Cl  0.568  0.809  0.940
Cl  0.770  0.399  0.535
Cl  0.773  0.899  0.531
Cl  0.922  0.225  0.207
Cl  0.934  0.700  0.205

An optimized crystal structure of CsV2GaBr8, computed with PBE.

total magnetization	4.00	μB per cell
crystal system	trigonal
uncorrected formation energy	-90.35	kJ/mol of atoms
energy	-3.8948	eV/atom
calculated density	3447	kg/m³
SG	R-3 (148)

Cell lengths 11.121, 11.121, 11.121 Å; angles 37.38, 37.38, 37.38 degrees
Fractional positions:
Cs  0.000  0.000  0.000
V  0.251  0.251  0.251
V  0.749  0.749  0.749
Ga  0.500  0.500  0.500
Br  0.081  0.793  0.444
Br  0.207  0.556  0.919
Br  0.327  0.327  0.327
Br  0.444  0.081  0.793
Br  0.556  0.919  0.207
Br  0.673  0.673  0.673
Br  0.793  0.444  0.081
Br  0.919  0.207  0.556

An optimized crystal structure of LiSc2Mn, computed with PBE.

total magnetization	3.27	μB per cell
crystal system	tetragonal
energy	-5.7055	eV/atom
calculated density	3277	kg/m³
energy of formation	0.23	eV/atom
SG	I-4m2 (119)

Cell lengths 4.072, 4.072, 9.278 Å; angles 90.00, 90.00, 90.00 degrees
Fractional positions:
Li  0.000  0.000  0.000
Li  0.500  0.500  0.500
Sc  0.000  0.000  0.500
Sc  0.000  0.500  0.250
Sc  0.500  0.000  0.750
Sc  0.500  0.500  0.000
Mn  0.000  0.500  0.750
Mn  0.500  0.000  0.250

An optimized crystal structure of V2IrI, computed with PBE.

total magnetization	0.00	μB per cell
crystal system	cubic
uncorrected formation energy	50.91	kJ/mol of atoms
energy	-6.6344	eV/atom
calculated density	10934	kg/m³
SG	Fm-3m (225)

Cell lengths 6.348, 6.348, 6.348 Å; angles 90.00, 90.00, 90.00 degrees
Fractional positions:
V  0.250  0.250  0.250
V  0.250  0.250  0.750
V  0.250  0.750  0.250
V  0.250  0.750  0.750
V  0.750  0.250  0.250
V  0.750  0.250  0.750
V  0.750  0.750  0.250
V  0.750  0.750  0.750
Ir  0.000  0.000  0.000
Ir  0.000  0.500  0.500
Ir  0.500  0.000  0.500
Ir  0.500  0.500  0.000
I  0.000  0.000  0.500
I  0.000  0.500  0.000
I  0.500  0.000  0.000
I  0.500  0.500  0.500

An optimized crystal structure of AcGa2Si, computed with PBE.

total magnetization	0.00	μB per cell
crystal system	orthorhombic
uncorrected formation energy	-39.50	kJ/mol of atoms
energy	-4.3057	eV/atom
calculated density	7112	kg/m³
SG	Cmcm (63)

Cell lengths 9.369, 9.369, 8.635 Å; angles 90.00, 90.00, 150.91 degrees
Fractional positions:
Ac  0.000  0.000  0.000
Ac  0.000  0.000  0.500
Ac  0.207  0.793  0.750
Ac  0.793  0.207  0.250
Ga  0.174  0.826  0.108
Ga  0.174  0.826  0.392
Ga  0.424  0.576  0.750
Ga  0.430  0.570  0.250
Ga  0.570  0.430  0.750
Ga  0.576  0.424  0.250
Ga  0.826  0.174  0.608
Ga  0.826  0.174  0.892
Si  0.354  0.646  0.004
Si  0.354  0.646  0.496
Si  0.646  0.354  0.504
Si  0.646  0.354  0.996

An optimized crystal structure of RbErCl4, computed with PBE.

total magnetization	0.00	μB per cell
crystal system	monoclinic
uncorrected formation energy	-205.18	kJ/mol of atoms
energy	-4.2794	eV/atom
calculated density	3347	kg/m³
SG	C2/m (12)

Cell lengths 8.388, 8.388, 7.060 Å; angles 92.30, 92.30, 52.09 degrees
Fractional positions:
Rb  0.213  0.213  0.265
Rb  0.787  0.787  0.735
Er  0.464  0.464  0.724
Er  0.536  0.536  0.276
Cl  0.184  0.615  0.437
Cl  0.260  0.740  0.000
Cl  0.305  0.305  0.836
Cl  0.385  0.816  0.563
Cl  0.615  0.184  0.437
Cl  0.695  0.695  0.164
Cl  0.740  0.260  0.000
Cl  0.816  0.385  0.563

An optimized crystal structure of Ag2TeAs, computed with PBE.

total magnetization	0.00	μB per cell
crystal system	tetragonal
uncorrected formation energy	25.14	kJ/mol of atoms
energy	-3.1129	eV/atom
calculated density	8083	kg/m³
SG	I-4m2 (119)

Cell lengths 4.278, 4.278, 9.389 Å; angles 90.00, 90.00, 90.00 degrees
Fractional positions:
Ag  0.000  0.000  0.000
Ag  0.000  0.500  0.250
Ag  0.500  0.000  0.750
Ag  0.500  0.500  0.500
Te  0.000  0.000  0.500
Te  0.500  0.500  0.000
As  0.000  0.500  0.750
As  0.500  0.000  0.250

Ordered volume results: 27.6, 29.9, 37.9, 19.2, 16.0, 23.0, 32.6, 21.5; unit A^3/atom.